DFT (PBE) results for DyHgPd5 after structural relaxation.

Structure (CIF):
```
data_DyHgPd5
_chemical_formula_sum 'Dy2 Hg2 Pd10'
_cell_length_a 5.3834
_cell_length_b 6.8915
_cell_length_c 7.5187
_cell_angle_alpha 90.00
_cell_angle_beta 90.00
_cell_angle_gamma 90.00
_space_group_name_H-M_alt 'I m m 2'
_space_group_IT_number 44
loop_
_space_group_symop_operation_xyz
'x,y,z'
'-x,-y,z'
'-x,y,z'
'x,-y,z'
'x+1/2,y+1/2,z+1/2'
'-x+1/2,-y+1/2,z+1/2'
'-x+1/2,y+1/2,z+1/2'
'x+1/2,-y+1/2,z+1/2'
loop_
_atom_site_label
_atom_site_type_symbol
_atom_site_fract_x
_atom_site_fract_y
_atom_site_fract_z
Dy1 Dy 0.0000 0.0000 0.0000
Hg1 Hg 0.0000 0.5000 0.8499
Pd1 Pd 0.0000 0.0000 0.3418
Pd2 Pd 0.0000 0.3120 0.5191
Pd3 Pd 0.2445 0.5000 0.1895
```

Output
**E_tot**: -64.4 eV per cell
**M_tot**: 0.000 μB per formula unit
**Formation enthalpy at 0 K**: -0.188 eV per atom